No. 1
Here is a relaxed Er3HgPd crystal from Alexandria via LeMat-Bulk. Energies are from PBE.

Output
Energy relative to the elements: -2.064 eV/f.u.

Cell lengths 8.8481, 8.8481, 3.8361 Å; angles 90.00, 90.00, 112.97 degrees
Closest atoms and distances in Å follow each position.
Element x y z (fractional)
Er (0.1654, 0.8346, 0.0000)  2 Pd 2.74
Er (0.1903, 0.4235, 0.5000)  2 Pd 2.80
Er (0.4235, 0.1903, 0.5000)  2 Pd 2.80
Er (0.5765, 0.8097, 0.5000)  2 Pd 2.80
Er (0.8097, 0.5765, 0.5000)  2 Pd 2.80
Er (0.8346, 0.1654, 0.0000)  2 Pd 2.74
Hg (0.0000, 0.0000, 0.5000)  8 Er 3.10-3.46
Hg (0.5000, 0.5000, 0.0000)  8 Er 3.19
Pd (0.0000, 0.5000, 0.0000)  6 Er 2.74-2.80
Pd (0.5000, 0.0000, 0.0000)  6 Er 2.74-2.80



No. 2
Here is a relaxed YbZnPt crystal from Alexandria via LeMat-Bulk. Energies are from PBE.

Output
Energy relative to the elements: -2.810 eV/f.u.

Cell lengths 7.0316, 4.1944, 7.9279 Å; angles 90.00, 90.00, 90.00 degrees
Closest atoms and distances in Å follow each position.
Element x y z (fractional)
Yb (0.0244, 0.2500, 0.1872)  5 Pt 2.96-3.01, 5 Zn 3.09-3.23
Yb (0.4756, 0.7500, 0.6872)  5 Pt 2.96-3.01, 5 Zn 3.09-3.23
Yb (0.5244, 0.2500, 0.3128)  5 Pt 2.96-3.01, 5 Zn 3.09-3.23
Yb (0.9756, 0.7500, 0.8128)  5 Pt 2.96-3.01, 5 Zn 3.09-3.23
Zn (0.1509, 0.2500, 0.5716)  4 Pt 2.62-2.69
Zn (0.3491, 0.7500, 0.0716)  4 Pt 2.62-2.69
Zn (0.6509, 0.2500, 0.9284)  4 Pt 2.62-2.69
Zn (0.8491, 0.7500, 0.4284)  4 Pt 2.62-2.69
Pt (0.2279, 0.7500, 0.3846)  4 Zn 2.62-2.69
Pt (0.2721, 0.2500, 0.8846)  4 Zn 2.62-2.69
Pt (0.7279, 0.7500, 0.1154)  4 Zn 2.62-2.69
Pt (0.7721, 0.2500, 0.6154)  4 Zn 2.62-2.69



No. 3
Here is a relaxed Sm2BCl crystal from Alexandria via LeMat-Bulk. Energies are from PBE.

Output
Uncorrected formation energy: -0.869 eV/atom

Cell lengths 7.2532, 7.2532, 7.2532 Å; angles 31.43, 31.43, 31.43 degrees
Closest atoms and distances in Å follow each position.
Element x y z (fractional)
Sm (0.2344, 0.2344, 0.2344)  3 B 2.67
Sm (0.7656, 0.7656, 0.7656)  3 B 2.67
B (0.5000, 0.5000, 0.5000)  6 Sm 2.67
Cl (0.0000, 0.0000, 0.0000)  6 Sm 3.05



No. 4
Here is a relaxed Na2SnGeCl6 crystal from Alexandria via LeMat-Bulk. Energies are from PBE.

Output
Uncorrected formation energy: -1.271 eV/atom

Cell lengths 7.8811, 7.8811, 7.8811 Å; angles 55.33, 55.33, 55.33 degrees
Closest atoms and distances in Å follow each position.
Element x y z (fractional)
Na (0.0000, 0.0000, 0.0000)  6 Cl 2.82-2.90
Na (0.4916, 0.4916, 0.4916)  6 Cl 2.77-2.97
Sn (0.1806, 0.1806, 0.1806)  3 Cl 2.61
Ge (0.6707, 0.6707, 0.6707)  3 Cl 2.42
Cl (0.1252, 0.3723, 0.8065)  1 Sn 2.61, 2 Na 2.77-2.90
Cl (0.3118, 0.8523, 0.6416)  1 Ge 2.42
Cl (0.3723, 0.8065, 0.1252)  1 Sn 2.61, 2 Na 2.77-2.90
Cl (0.6416, 0.3118, 0.8523)  1 Ge 2.42
Cl (0.8065, 0.1252, 0.3723)  1 Sn 2.61, 2 Na 2.77-2.90
Cl (0.8523, 0.6416, 0.3118)  1 Ge 2.42



No. 5
Here is a relaxed Li2Dy2YGa2 crystal from Alexandria via LeMat-Bulk. Energies are from PBE.

Output
Energy relative to the elements: -2.013 eV/f.u.

Cell lengths 9.2072, 9.2072, 9.2072 Å; angles 28.84, 28.84, 28.84 degrees
Closest atoms and distances in Å follow each position.
Element x y z (fractional)
Li (0.1030, 0.1030, 0.1030)  3 Ga 2.66
Li (0.8970, 0.8970, 0.8970)  3 Ga 2.66
Dy (0.3738, 0.3738, 0.3738)  3 Ga 3.01, 3 Li 3.12, 1 Y 3.34
Dy (0.6262, 0.6262, 0.6262)  3 Ga 3.01, 3 Li 3.12, 1 Y 3.34
Y (0.5000, 0.5000, 0.5000)  6 Li 3.14, 6 Ga 3.26, 2 Dy 3.34
Ga (0.2384, 0.2384, 0.2384)  3 Li 2.66
Ga (0.7616, 0.7616, 0.7616)  3 Li 2.66



No. 6
Here is a relaxed AcGdHoEr crystal from Alexandria via LeMat-Bulk. Energies are from PBE.

Output
Energy relative to the elements: 0.440 eV/f.u.

Cell lengths 5.8169, 5.8169, 5.8169 Å; angles 60.00, 60.00, 60.00 degrees
Closest atoms and distances in Å follow each position.
Element x y z (fractional)
Ac (0.0000, 0.0000, 0.0000)  4 Er 3.56, 4 Ho 3.56
Gd (0.5000, 0.5000, 0.5000)  4 Er 3.56, 4 Ho 3.56
Ho (0.2500, 0.2500, 0.2500)  4 Gd 3.56, 4 Ac 3.56
Er (0.7500, 0.7500, 0.7500)  4 Ac 3.56, 4 Gd 3.56



No. 7
Here is a relaxed CsIn2Pt2 crystal from Alexandria via LeMat-Bulk. Energies are from PBE.

Output
Energy relative to the elements: -0.821 eV/f.u.

Cell lengths 8.7062, 8.7062, 3.0469 Å; angles 90.00, 90.00, 90.00 degrees
Closest atoms and distances in Å follow each position.
Element x y z (fractional)
Cs (0.0000, 0.0000, 0.0000)  2 Cs 3.05, 4 Pt 3.26
Cs (0.5000, 0.5000, 0.0000)  2 Cs 3.05, 4 Pt 3.26
In (0.1278, 0.3722, 0.5000)  6 Pt 2.96-3.00, 3 In 3.05-3.15
In (0.3722, 0.8722, 0.5000)  6 Pt 2.96-3.00, 3 In 3.05-3.15
In (0.6278, 0.1278, 0.5000)  6 Pt 2.96-3.00, 3 In 3.05-3.15
In (0.8722, 0.6278, 0.5000)  6 Pt 2.96-3.00, 3 In 3.05-3.15
Pt (0.1622, 0.6622, 0.0000)  6 In 2.96-3.00, 2 Pt 3.05, 2 Cs 3.26
Pt (0.3378, 0.1622, 0.0000)  6 In 2.96-3.00, 2 Pt 3.05, 2 Cs 3.26
Pt (0.6622, 0.8378, 0.0000)  6 In 2.96-3.00, 2 Pt 3.05, 2 Cs 3.26
Pt (0.8378, 0.3378, 0.0000)  6 In 2.96-3.00, 2 Pt 3.05, 2 Cs 3.26



No. 8
Here is a relaxed NaTl4Hg3 crystal from Alexandria via LeMat-Bulk. Energies are from PBE.

Output
Energy relative to the elements: -0.264 eV/f.u.

Cell lengths 3.4723, 5.1076, 12.8830 Å; angles 90.00, 90.00, 90.00 degrees
Closest atoms and distances in Å follow each position.
Element x y z (fractional)
Na (0.0000, 0.0000, 0.0000)  2 Hg 3.09, 5 Tl 3.32-3.41
Tl (0.0000, 0.0000, 0.2573)  1 Na 3.32, 6 Hg 3.39-3.59, 6 Tl 3.47-3.61
Tl (0.0000, 0.5000, 0.6064)  7 Hg 3.34-3.55, 6 Tl 3.47-3.64
Tl (0.5000, 0.0000, 0.7555)  5 Hg 3.28-3.40, 6 Tl 3.47-3.64, 2 Na 3.60
Tl (0.5000, 0.5000, 0.1127)  3 Hg 3.26-3.63, 4 Na 3.41, 6 Tl 3.47-3.61
Hg (0.0000, 0.5000, 0.8656)  2 Na 3.09, 5 Tl 3.34-3.40
Hg (0.5000, 0.0000, 0.5010)  2 Hg 3.09, 5 Tl 3.28-3.37
Hg (0.5000, 0.5000, 0.3659)  2 Hg 3.09, 5 Tl 3.26-3.39



No. 9
Here is a relaxed YGeRh2 crystal from Alexandria via LeMat-Bulk. Energies are from PBE.

Output
Energy relative to the elements: -3.522 eV/f.u.

Cell lengths 5.5760, 5.5760, 15.6358 Å; angles 90.00, 90.00, 120.00 degrees
Closest atoms and distances in Å follow each position.
Element x y z (fractional)
Y (0.3333, 0.6667, 0.0384)  9 Rh 3.05-3.12, 3 Ge 3.27, 1 Y 3.31
Y (0.3333, 0.6667, 0.2500)  6 Ge 3.22, 2 Y 3.31, 12 Rh 3.38
Y (0.3333, 0.6667, 0.4616)  9 Rh 3.05-3.12, 3 Ge 3.27, 1 Y 3.31
Y (0.6667, 0.3333, 0.5384)  9 Rh 3.05-3.12, 3 Ge 3.27, 1 Y 3.31
Y (0.6667, 0.3333, 0.7500)  6 Ge 3.22, 2 Y 3.31, 12 Rh 3.38
Y (0.6667, 0.3333, 0.9616)  9 Rh 3.05-3.12, 3 Ge 3.27, 1 Y 3.31
Ge (0.0000, 0.0000, 0.0000)  6 Rh 2.57
Ge (0.0000, 0.0000, 0.2500)  6 Rh 2.51
Ge (0.0000, 0.0000, 0.5000)  6 Rh 2.57
Ge (0.0000, 0.0000, 0.7500)  6 Rh 2.51
Ge (0.3333, 0.6667, 0.7500)  6 Rh 2.49
Ge (0.6667, 0.3333, 0.2500)  6 Rh 2.49
Rh (0.1679, 0.3359, 0.6276)  3 Ge 2.49-2.57, 2 Rh 2.77
Rh (0.1679, 0.3359, 0.8724)  3 Ge 2.49-2.57, 2 Rh 2.77
Rh (0.1679, 0.8321, 0.6276)  3 Ge 2.49-2.57, 2 Rh 2.77
Rh (0.1679, 0.8321, 0.8724)  3 Ge 2.49-2.57, 2 Rh 2.77
Rh (0.3359, 0.1679, 0.1276)  3 Ge 2.49-2.57, 2 Rh 2.77
Rh (0.3359, 0.1679, 0.3724)  3 Ge 2.49-2.57, 2 Rh 2.77
Rh (0.6641, 0.8321, 0.6276)  3 Ge 2.49-2.57, 2 Rh 2.77
Rh (0.6641, 0.8321, 0.8724)  3 Ge 2.49-2.57, 2 Rh 2.77
Rh (0.8321, 0.1679, 0.1276)  3 Ge 2.49-2.57, 2 Rh 2.77
Rh (0.8321, 0.1679, 0.3724)  3 Ge 2.49-2.57, 2 Rh 2.77
Rh (0.8321, 0.6641, 0.1276)  3 Ge 2.49-2.57, 2 Rh 2.77
Rh (0.8321, 0.6641, 0.3724)  3 Ge 2.49-2.57, 2 Rh 2.77



No. 10
Here is a relaxed TiOsRuS crystal from Alexandria via LeMat-Bulk. Energies are from PBE.

Output
Uncorrected formation energy: -0.132 eV/atom

Cell lengths 4.1498, 4.1695, 3.5031 Å; angles 90.00, 90.00, 90.00 degrees
Closest atoms and distances in Å follow each position.
Element x y z (fractional)
Ti (0.0000, 0.0000, 0.0000)  4 Ru 2.61-2.84, 4 Os 2.62-2.81
Os (0.5000, 0.0000, 0.5422)  2 S 2.31
Ru (0.0000, 0.5000, 0.5495)  2 S 2.31
S (0.5000, 0.5000, 0.2592)  2 Os 2.31, 2 Ru 2.31



No. 11
Here is a relaxed PmPrSn6 crystal from Alexandria via LeMat-Bulk. Energies are from PBE.

Output
Energy relative to the elements: -3.969 eV/f.u.

Cell lengths 4.7689, 4.7689, 9.5892 Å; angles 90.00, 90.00, 90.00 degrees
Closest atoms and distances in Å follow each position.
Element x y z (fractional)
Pm (0.0000, 0.0000, 0.0000)  12 Sn 3.37
Pr (0.0000, 0.0000, 0.5000)  12 Sn 3.37-3.40
Sn (0.0000, 0.5000, 0.2479)  8 Sn 3.37-3.40, 2 Pm 3.37, 2 Pr 3.40
Sn (0.0000, 0.5000, 0.7521)  8 Sn 3.37-3.40, 2 Pm 3.37, 2 Pr 3.40
Sn (0.5000, 0.0000, 0.2479)  8 Sn 3.37-3.40, 2 Pm 3.37, 2 Pr 3.40
Sn (0.5000, 0.0000, 0.7521)  8 Sn 3.37-3.40, 2 Pm 3.37, 2 Pr 3.40
Sn (0.5000, 0.5000, 0.0000)  8 Sn 3.37, 4 Pm 3.37
Sn (0.5000, 0.5000, 0.5000)  4 Pr 3.37, 8 Sn 3.40



No. 12
Here is a relaxed Nd2Zn3Au9 crystal from Alexandria via LeMat-Bulk. Energies are from PBE.

Output
Energy relative to the elements: -6.852 eV/f.u.

Cell lengths 7.9987, 7.9987, 10.9345 Å; angles 111.11, 111.11, 59.81 degrees
Closest atoms and distances in Å follow each position.
Element x y z (fractional)
Nd (0.0843, 0.2500, 0.2496)  11 Au 3.18-3.25, 2 Zn 3.54-3.55
Nd (0.2500, 0.0843, 0.7496)  11 Au 3.18-3.25, 2 Zn 3.54-3.55
Nd (0.7500, 0.9157, 0.2504)  11 Au 3.18-3.25, 2 Zn 3.54-3.55
Nd (0.9157, 0.7500, 0.7504)  11 Au 3.18-3.25, 2 Zn 3.54-3.55
Zn (0.0000, 0.5000, 0.0000)  8 Au 2.69-2.76
Zn (0.1459, 0.6786, 0.5019)  8 Au 2.67-2.89
Zn (0.3214, 0.8541, 0.9981)  8 Au 2.67-2.89
Zn (0.5000, 0.0000, 0.5000)  8 Au 2.69-2.76
Zn (0.6786, 0.1459, 0.0019)  8 Au 2.67-2.89
Zn (0.8541, 0.3214, 0.4981)  8 Au 2.67-2.89
Au (0.0301, 0.8494, 0.0708)  3 Zn 2.67-2.74, 3 Au 2.91-2.97
Au (0.1506, 0.9699, 0.4292)  3 Zn 2.67-2.74, 3 Au 2.91-2.97
Au (0.1968, 0.3566, 0.5693)  3 Zn 2.70-2.73, 3 Au 2.94-2.97
Au (0.1996, 0.5833, 0.2538)  2 Zn 2.67-2.69, 4 Au 2.89-2.94
Au (0.3090, 0.4768, 0.9267)  3 Zn 2.76-2.89, 5 Au 2.89-3.04
Au (0.3566, 0.1968, 0.0693)  3 Zn 2.70-2.73, 3 Au 2.94-2.97
Au (0.3605, 0.6395, 0.7500)  2 Zn 2.67, 4 Au 2.92-2.94
Au (0.4167, 0.8004, 0.2462)  2 Zn 2.67-2.69, 4 Au 2.89-2.94
Au (0.4768, 0.3090, 0.4267)  3 Zn 2.76-2.89, 5 Au 2.89-3.04
Au (0.5232, 0.6910, 0.5733)  3 Zn 2.76-2.89, 5 Au 2.89-3.04
Au (0.5833, 0.1996, 0.7538)  2 Zn 2.67-2.69, 4 Au 2.89-2.94
Au (0.6395, 0.3605, 0.2500)  2 Zn 2.67, 4 Au 2.92-2.94
Au (0.6434, 0.8032, 0.9307)  3 Zn 2.70-2.73, 3 Au 2.94-2.97
Au (0.6910, 0.5232, 0.0733)  3 Zn 2.76-2.89, 5 Au 2.89-3.04
Au (0.8004, 0.4167, 0.7462)  2 Zn 2.67-2.69, 4 Au 2.89-2.94
Au (0.8032, 0.6434, 0.4307)  3 Zn 2.70-2.73, 3 Au 2.94-2.97
Au (0.8494, 0.0301, 0.5708)  3 Zn 2.67-2.74, 3 Au 2.91-2.97
Au (0.9699, 0.1506, 0.9292)  3 Zn 2.67-2.74, 3 Au 2.91-2.97



no.,DOS(E_F) (states/eV per atom),V (A^3/atom)
1,0.86,27.7
2,0.32,19.5
3,0.77,23.0
4,0.00,30.9
5,0.69,22.9
6,1.69,34.8
7,0.25,23.1
8,0.44,28.6
9,0.42,17.5
10,0.08,15.2
11,0.73,27.3
12,0.36,19.6